(1)
PBE AcBCl, optimized geometry; total energy = -5.16 eV/atom; SG = Cmcm; formation energy from raw total energies = -0.9481 eV per atom; energy above the most stable polymorph in this dataset = 0.136 eV/atom
1.0
2.075 -11.236 0.000
2.075 11.236 0.000
0.000 0.000 3.416
Ac B Cl
2 2 2
Cartesian
2.075 9.336 2.562
2.075 -9.336 0.854
2.075 0.198 2.562
2.075 -0.198 0.854
2.075 3.897 0.854
2.075 -3.897 2.562

***

(2)
PBE Cs2ZnSbBr, optimized geometry; total energy = -1.91 eV/atom; SG = P4/mmm; formation energy from raw total energies = -0.1582 eV per atom; energy above the most stable polymorph in this dataset = 0.098 eV/atom
1.0
7.447 0.000 0.000
0.000 7.447 0.000
0.000 0.000 5.967
Cs Zn Sb Br
2 1 1 1
Cartesian
0.000 3.723 0.000
3.723 0.000 0.000
0.000 0.000 2.984
3.723 3.723 0.000
3.723 3.723 2.984

***

(3)
PBE LaHf3Br, optimized geometry; total energy = -6.88 eV/atom; SG = Pm-3m; formation energy from raw total energies = 0.4082 eV per atom; energy above the most stable polymorph in this dataset = 0.000 eV/atom
1.0
5.087 0.000 0.000
0.000 5.087 0.000
0.000 0.000 5.087
La Hf Br
1 3 1
Cartesian
0.000 0.000 0.000
0.000 2.544 2.544
2.544 0.000 2.544
2.544 2.544 0.000
2.544 2.544 2.544

***

(4)
PBE CoTcBr2, optimized geometry; total energy = -4.26 eV/atom; SG = P4/mmm; formation energy from raw total energies = 0.9488 eV per atom; energy above the most stable polymorph in this dataset = 0.792 eV/atom
1.0
3.258 0.000 0.000
0.000 3.258 0.000
0.000 0.000 6.571
Co Tc Br
1 1 2
Cartesian
0.000 0.000 0.000
0.000 0.000 3.285
1.629 1.629 1.583
1.629 1.629 4.988

***

(5)
PBE TlPd5Se, optimized geometry; total energy = -4.77 eV/atom; SG = P4/mmm; formation energy from raw total energies = -0.2221 eV per atom
1.0
4.109 0.000 0.000
0.000 4.109 0.000
0.000 0.000 7.183
Tl Pd Se
1 5 1
Cartesian
0.000 0.000 0.000
0.000 2.054 2.053
0.000 2.054 5.130
2.054 0.000 2.053
2.054 0.000 5.130
2.054 2.054 0.000
2.054 2.054 3.591

***

(6)
PBE Ho3GaH, optimized geometry; total energy = -4.36 eV/atom; SG = P2_1/m; energy above the most stable polymorph in this dataset = 0.000 eV/atom
1.0
7.398 0.000 0.000
0.000 3.516 0.000
-0.197 0.000 8.543
Ho Ga H
6 2 2
Cartesian
0.441 0.879 2.838
1.692 0.879 8.177
2.522 2.637 5.222
4.679 0.879 3.321
5.509 2.637 0.366
6.760 2.637 5.705
2.783 2.637 1.955
4.417 0.879 6.588
0.785 0.879 5.066
6.415 2.637 3.477

***

- Number 5 is which compound?
  TlPd5Se